No. 1
Material: YTaZn
Method: DFT, PBE-GGA
State: relaxed

For the distance to the lowest polymorph of the same formula, the calculation gives 1210.0 meV per atom. The total magnetization comes out at 2.4 μB/f.u.

The space group is F-43m (No. 216) and the conventional cell measures 6.785, 6.785 and 6.785 Å, with angles of 90.00, 90.00 and 90.00 degrees. The asymmetric unit holds Y at (0.000, 0.000, 0.000), Ta at (0.250, 0.250, 0.750) and Zn at (0.250, 0.250, 0.250).

=====

No. 2
Material: Cs4Pm3NdSe8
Method: DFT, PBE-GGA
State: relaxed

The value obtained for the uncorrected formation energy is -1.7312 eV/atom. The total magnetization comes out at 0.0 μB/f.u.

The space group is R-3m (No. 166, hexagonal axes) and the conventional cell measures 8.7625, 8.7625 and 25.2194 Å, with angles of 90.00, 90.00 and 120.00 degrees. The asymmetric unit holds Cs at (0.0000, 0.0000, 0.0000), Cs at (0.0000, 0.5000, 0.0000), Pm at (0.0000, 0.5000, 0.5000), Nd at (0.0000, 0.0000, 0.5000), Se at (0.0000, 0.0000, 0.2298) and Se at (0.0015, 0.5007, 0.7700).

=====

No. 3
Material: Y2ReO5
Method: DFT, PBE-GGA
State: relaxed

The value obtained for the uncorrected formation energy is -2.7817 eV/atom. The total magnetization comes out at 0.0 μB/f.u.

The space group is P4/n (No. 85, origin choice 2) and the conventional cell measures 8.566, 8.566 and 5.705 Å, with angles of 90.00, 90.00 and 90.00 degrees. The asymmetric unit holds Y at (0.100, 0.890, 0.250), Re at (0.250, 0.250, 0.145), Re at (0.250, 0.250, 0.541), O at (0.048, 0.344, 0.600), O at (0.049, 0.152, 0.094), O at (0.250, 0.750, 0.000) and O at (0.250, 0.750, 0.500).

=====

No. 4
Material: Si2HgSe
Method: DFT, PBE-GGA
State: relaxed

The value obtained for the uncorrected formation energy is 0.2555 eV/atom. For the distance to the lowest polymorph of the same formula, the calculation gives 106.0 meV per atom. The total magnetization comes out at 0.0 μB/f.u.

The space group is Pm (No. 6) and the conventional cell measures 3.630, 5.145 and 4.830 Å, with angles of 90.00, 100.98 and 90.00 degrees. The asymmetric unit holds Si at (0.000, 0.000, 0.000), Si at (0.020, 0.500, 0.066), Hg at (0.355, 0.000, 0.580) and Se at (0.610, 0.500, 0.403).